{
  "formula": "CeThGa2Pd5",
  "functional": "PBE-GGA",
  "state": "relaxed",
  "formation_energy_ev_per_atom": -0.75,
  "crystal_system": "tetragonal",
  "space_group": "P4/mmm, No. 123",
  "e_tot_ev_per_fu": -52.2,
  "lattice": [[-1.167, 3.646, -2.027], [-2.298, 1.194, 3.472], [7.262, 4.194, 3.365]],
  "species": ["Ce", "Pd", "Th", "Pd", "Pd", "Ga", "Pd", "Pd", "Ga"],
  "frac_coords": [[0.000, 0.000, 0.500], [0.500, 0.500, 0.500], [0.000, 0.000, 0.000], [0.500, 0.000, 0.721], [0.000, 0.500, 0.721], [0.500, 0.500, 0.138], [0.000, 0.500, 0.279], [0.500, 0.000, 0.279], [0.500, 0.500, 0.862]]
}

=====

{
  "formula": "Sr4ZnPt3",
  "functional": "PBE-GGA",
  "state": "relaxed",
  "formation_energy_ev_per_atom": -0.72,
  "crystal_system": "orthorhombic",
  "space_group": "Pmm2, No. 25",
  "e_tot_ev_per_fu": -31.9,
  "lattice": [[-2.726, 1.960, -2.792], [1.729, -2.412, -3.382], [-7.758, -8.155, 1.850]],
  "species": ["Sr", "Pt", "Zn", "Pt", "Pt", "Sr", "Sr", "Sr"],
  "frac_coords": [[0.000, 0.500, 0.847], [0.000, 0.500, 0.576], [0.500, 0.500, 0.054], [0.000, 0.000, 0.424], [0.500, 0.000, 0.944], [0.500, 0.000, 0.637], [0.500, 0.500, 0.372], [0.000, 0.000, 0.146]]
}

=====

{
  "formula": "RbBa2NaAu",
  "functional": "PBE-GGA",
  "state": "relaxed",
  "formation_energy_ev_per_atom": -0.20,
  "de_polymorph_mev_per_atom": 13,
  "crystal_system": "tetragonal",
  "space_group": "P4/mmm, No. 123",
  "e_tot_ev_per_fu": -10.4,
  "lattice": [[6.453, 0.000, 0.000], [0.000, 6.453, 0.000], [0.000, 0.000, 6.789]],
  "species": ["Ba", "Ba", "Na", "Au", "Rb"],
  "frac_coords": [[0.500, 0.000, 0.000], [0.000, 0.500, 0.000], [0.500, 0.500, 0.500], [0.000, 0.000, 0.000], [0.000, 0.000, 0.500]]
}

=====

{
  "formula": "MgCd5Ag6",
  "functional": "PBE-GGA",
  "state": "relaxed",
  "formation_energy_ev_per_atom": -0.09,
  "de_polymorph_mev_per_atom": 0,
  "crystal_system": "monoclinic",
  "space_group": "C2/m, No. 12",
  "e_tot_ev_per_fu": -24.3,
  "lattice": [[-2.990, -3.262, 1.181], [6.598, -1.234, 4.439], [-3.639, 7.043, 1.382]],
  "species": ["Cd", "Ag", "Cd", "Ag", "Ag", "Ag", "Cd", "Ag", "Ag", "Cd", "Cd", "Mg"],
  "frac_coords": [[0.500, 0.167, 0.833], [0.256, 0.755, 0.755], [0.500, 0.833, 0.167], [0.754, 0.588, 0.918], [0.246, 0.082, 0.412], [0.744, 0.245, 0.245], [0.500, 0.500, 0.500], [0.754, 0.918, 0.588], [0.246, 0.412, 0.082], [0.000, 0.666, 0.334], [0.000, 0.334, 0.666], [0.000, 0.000, 0.000]]
}

=====

{
  "formula": "SiNiAu2",
  "functional": "PBE-GGA",
  "state": "relaxed",
  "crystal_system": "tetragonal",
  "space_group": "I4/mmm, No. 139",
  "e_tot_ev_per_fu": -17.3,
  "raw_formation_energy_mev_per_atom": 116,
  "lattice": [[4.813, -0.008, 0.000], [1.584, 4.546, 0.000], [-3.198, -2.269, 2.792]],
  "species": ["Ni", "Au", "Au", "Si"],
  "frac_coords": [[0.250, 0.750, 0.500], [0.000, 0.000, 0.000], [0.500, 0.500, 0.000], [0.750, 0.250, 0.500]]
}

=====

{
  "formula": "KCo2Ni",
  "functional": "PBE-GGA",
  "state": "relaxed",
  "formation_energy_ev_per_atom": 1.21,
  "de_polymorph_mev_per_atom": 602,
  "crystal_system": "tetragonal",
  "space_group": "P4/mmm, No. 123",
  "e_tot_ev_per_fu": -16.3,
  "lattice": [[4.880, 0.000, 0.000], [0.000, 4.880, 0.000], [0.000, 0.000, 2.595]],
  "species": ["Ni", "Co", "Co", "K"],
  "frac_coords": [[0.000, 0.500, 0.500], [0.500, 0.500, 0.000], [0.000, 0.000, 0.000], [0.500, 0.000, 0.500]]
}

=====

{
  "formula": "HoCu2O4",
  "functional": "PBE-GGA",
  "state": "relaxed",
  "crystal_system": "tetragonal",
  "space_group": "I4_1/a, No. 88",
  "e_tot_ev_per_fu": -44.4,
  "raw_formation_energy_mev_per_atom": -1683,
  "lattice": [[6.263, 0.000, 0.000], [1.122, 6.161, 0.000], [-3.692, -3.081, 4.012]],
  "species": ["O", "O", "Ho", "Ho", "Cu", "O", "O", "Cu", "Cu", "O", "O", "Cu", "O", "O"],
  "frac_coords": [[0.404, 0.259, 0.558], [0.009, 0.951, 0.355], [0.750, 0.250, 0.500], [0.000, 0.000, 0.000], [0.375, 0.125, 0.750], [0.154, 0.596, 0.855], [0.701, 0.846, 0.442], [0.375, 0.625, 0.750], [0.375, 0.625, 0.250], [0.346, 0.991, 0.942], [0.741, 0.299, 0.145], [0.875, 0.625, 0.250], [0.049, 0.404, 0.058], [0.596, 0.654, 0.645]]
}

=====

{
  "formula": "NaAs2HO6",
  "functional": "PBE-GGA",
  "state": "relaxed",
  "crystal_system": "monoclinic",
  "space_group": "C2/c, No. 15",
  "e_tot_ev_per_fu": -56.1,
  "lattice": [[-3.169, 2.890, 2.561], [-7.784, 0.239, -3.813], [-3.840, -4.460, 6.369]],
  "species": ["H", "O", "O", "As", "O", "O", "As", "As", "O", "O", "O", "O", "Na", "H", "O", "O", "O", "Na", "As", "O"],
  "frac_coords": [[0.750, 0.672, 0.328], [0.516, 0.237, 0.605], [0.508, 0.602, 0.689], [0.790, 0.603, 0.772], [0.351, 0.287, 0.050], [0.008, 0.689, 0.602], [0.710, 0.228, 0.397], [0.210, 0.397, 0.228], [0.992, 0.311, 0.398], [0.016, 0.605, 0.237], [0.851, 0.050, 0.287], [0.492, 0.398, 0.311], [0.250, 0.809, 0.191], [0.250, 0.328, 0.672], [0.649, 0.713, 0.950], [0.984, 0.395, 0.763], [0.149, 0.950, 0.713], [0.750, 0.191, 0.809], [0.290, 0.772, 0.603], [0.484, 0.763, 0.395]]
}

=====

{
  "formula": "AcCeErSc",
  "functional": "PBE-GGA",
  "state": "relaxed",
  "formation_energy_ev_per_atom": 0.17,
  "crystal_system": "cubic",
  "space_group": "F-43m, No. 216",
  "e_tot_ev_per_fu": -20.3,
  "lattice": [[5.689, 0.000, 0.000], [2.844, 4.927, 0.000], [2.844, 1.642, 4.645]],
  "species": ["Ce", "Er", "Sc", "Ac"],
  "frac_coords": [[0.250, 0.250, 0.250], [0.500, 0.500, 0.500], [0.000, 0.000, 0.000], [0.750, 0.750, 0.750]]
}

=====

{
  "formula": "HoFeSi3Ni",
  "functional": "PBE-GGA",
  "state": "relaxed",
  "crystal_system": "orthorhombic",
  "space_group": "Cmcm, No. 63",
  "e_tot_ev_per_fu": -37.1,
  "raw_formation_energy_mev_per_atom": -342,
  "lattice": [[5.511, 0.000, 0.000], [0.000, 5.988, 0.000], [0.000, -2.994, 6.003]],
  "species": ["Ni", "Ni", "Ho", "Si", "Ho", "Si", "Si", "Fe", "Si", "Si", "Fe", "Si"],
  "frac_coords": [[0.250, 0.385, 0.771], [0.750, 0.615, 0.229], [0.750, 0.221, 0.441], [0.750, 0.791, 0.581], [0.250, 0.779, 0.559], [0.000, 0.294, 0.000], [0.000, 0.706, 0.000], [0.250, 0.033, 0.066], [0.250, 0.209, 0.419], [0.500, 0.294, 0.000], [0.750, 0.967, 0.934], [0.500, 0.706, 0.000]]
}

=====

{
  "formula": "ZnGe2Rh2",
  "functional": "PBE-GGA",
  "state": "relaxed",
  "formation_energy_ev_per_atom": -0.28,
  "de_polymorph_mev_per_atom": 46,
  "crystal_system": "orthorhombic",
  "space_group": "Imma, No. 74",
  "e_tot_ev_per_fu": -26.6,
  "lattice": [[-6.093, -0.386, 2.845], [2.789, -5.361, 2.973], [1.937, 3.496, 1.449]],
  "species": ["Zn", "Rh", "Ge", "Ge", "Zn", "Ge", "Rh", "Rh", "Rh", "Ge"],
  "frac_coords": [[0.074, 0.926, 0.250], [0.407, 0.593, 0.250], [0.584, 0.808, 0.946], [0.416, 0.192, 0.054], [0.926, 0.074, 0.750], [0.192, 0.416, 0.554], [0.805, 0.195, 0.250], [0.593, 0.407, 0.750], [0.195, 0.805, 0.750], [0.808, 0.584, 0.446]]
}

=====

{
  "formula": "RbMnVS3",
  "functional": "PBE-GGA",
  "state": "relaxed",
  "crystal_system": "monoclinic",
  "space_group": "P2_1/m, No. 11",
  "e_tot_ev_per_fu": -37.1,
  "raw_formation_energy_mev_per_atom": -904,
  "lattice": [[3.487, 0.000, 0.000], [0.000, 8.290, -1.287], [0.000, -3.581, 9.202]],
  "species": ["S", "Mn", "S", "S", "Rb", "S", "V", "Mn", "V", "Rb", "S", "S"],
  "frac_coords": [[0.750, 0.532, 0.172], [0.250, 0.671, 0.107], [0.750, 0.872, 0.134], [0.750, 0.193, 0.507], [0.750, 0.748, 0.751], [0.250, 0.468, 0.828], [0.250, 0.130, 0.627], [0.750, 0.329, 0.893], [0.750, 0.870, 0.373], [0.250, 0.252, 0.249], [0.250, 0.128, 0.866], [0.250, 0.807, 0.493]]
}